[1]
ZnGaNiIr: optimized geometry, PBE.

Geometry as extended XYZ:
```
4
Lattice="0.0000 2.9896 2.9896 2.9896 0.0000 2.9896 2.9896 2.9896 0.0000" Properties=species:S:1:pos:R:3 pbc="T T T"
Zn 0.0000 0.0000 0.0000
Ga 2.9896 2.9896 2.9896
Ni 4.4845 4.4845 4.4845
Ir 1.4948 1.4948 1.4948
```

Computed properties:
Its space group is F-43m. Its energy of formation from the pure elements is -7.270 kcal/mol of atoms. Its total energy is -5.051 eV per atom.

***

[2]
MgTl3Fe: optimized geometry, PBE.

Geometry as extended XYZ:
```
5
Lattice="5.1287 0.0000 0.0000 0.0000 5.1287 0.0000 0.0000 0.0000 5.1287" Properties=species:S:1:pos:R:3 pbc="T T T"
Mg 0.0000 0.0000 0.0000
Tl 0.0000 2.5643 2.5643
Tl 2.5643 0.0000 2.5643
Tl 2.5643 2.5643 0.0000
Fe 2.5643 2.5643 2.5643
```

Computed properties:
The excess energy over the best structure of this formula in the dataset is 0.0 meV per atom. Its space group is Pm-3m. Its energy of formation from the pure elements is 9.265 kcal/mol of atoms. Its total energy is -3.029 eV per atom.

***

[3]
CrGaSb2Ru: optimized geometry, PBE.

Geometry as extended XYZ:
```
5
Lattice="5.1414 0.0000 0.0000 0.0000 5.1414 0.0000 0.0000 0.0000 4.5090" Properties=species:S:1:pos:R:3 pbc="T T T"
Cr 0.0000 0.0000 0.0000
Ga 2.5707 2.5707 2.2545
Sb 0.0000 2.5707 2.2545
Sb 2.5707 0.0000 2.2545
Ru 2.5707 2.5707 0.0000
```

Computed properties:
The excess energy over the best structure of this formula in the dataset is 180.0 meV per atom. Its space group is P4/mmm. The uncorrected formation energy comes out at 7.5 eV/f.u. Its total energy is -4.544 eV per atom.

***

[4]
Sc2AgPt: optimized geometry, PBE.

Geometry as extended XYZ:
```
4
Lattice="1.6792 0.9695 9.3936 -1.6792 0.9695 9.3936 0.0000 -1.9390 9.3936" Properties=species:S:1:pos:R:3 pbc="T T T"
Sc 0.0000 0.0000 2.8637
Sc 0.0000 0.0000 25.3172
Ag 0.0000 0.0000 0.0000
Pt 0.0000 0.0000 14.0904
```

Computed properties:
Its space group is R-3m. Its energy of formation from the pure elements is -4.996 kcal/mol of atoms. Its total energy is -5.605 eV per atom.